VASP calculation (PBE-GGA) on a relaxed Nb2BPtSe crystal.

Results
E ... -27.0 eV/cell

Unit cell a=4.959 b=4.959 c=4.827 alpha=90.00 beta=90.00 gamma=90.00
Sites, in units of the cell vectors:
Nb  0.000  0.500  0.000
Nb  0.500  0.000  0.000
B  0.000  0.000  0.500
Pt  0.500  0.500  0.000
Se  0.500  0.500  0.500